This record from the Alexandria database describes an optimized crystal structure of BaNiC3. The functional is PBE-GGA.

The value obtained for the total moment is 0.0 μB/f.u. As for the theoretical density: 5.68 g/cm³. For the formation energy, the calculation gives 1.918 eV/atom. For the energy above the lowest structure with this stoichiometry, the calculation gives 0 meV/atom. The space group is No. 221.

Lattice parameters (Å, degrees): 4.0788 4.0788 4.0788 90.00 90.00 90.00
Sites, in units of the cell vectors:
Ni (0.0000, 0.0000, 0.0000)
C (0.0000, 0.5000, 0.0000)
C (0.0000, 0.0000, 0.5000)
C (0.5000, 0.0000, 0.0000)
Ba (0.5000, 0.5000, 0.5000)

***

This record from the Alexandria database describes an optimized crystal structure of CoRuCl3. The functional is PBE-GGA.

The value obtained for the total moment is 3.0 μB/f.u. As for the theoretical density: 3.80 g/cm³. For the energy above the lowest structure with this stoichiometry, the calculation gives 0 meV/atom. For the uncorrected formation energy, the calculation gives -0.2481 eV per atom. The space group is No. 1.

Lattice parameters (Å, degrees): 9.0747 3.4516 7.8993 77.46 81.93 100.98
Sites, in units of the cell vectors:
Ru (0.1691, 0.3937, 0.6118)
Ru (0.6274, 0.1672, 0.5207)
Co (0.9710, 0.7402, 0.7209)
Co (0.0524, 0.9324, 0.4164)
Cl (0.8799, 0.3726, 0.3623)
Cl (0.0253, 0.1733, 0.9101)
Cl (0.3672, 0.9610, 0.6744)
Cl (0.5791, 0.7343, 0.3371)
Cl (0.2326, 0.5807, 0.2996)
Cl (0.7006, 0.6032, 0.7231)

***

This record from the Alexandria database describes an optimized crystal structure of CaUAs2. The functional is PBE-GGA.

The value obtained for the total moment is 2.0 μB/f.u. As for the theoretical density: 6.80 g/cm³. For the formation energy, the calculation gives -0.882 eV/atom. For the energy above the lowest structure with this stoichiometry, the calculation gives 88 meV/atom. The space group is No. 160.

Lattice parameters (Å, degrees): 4.1211 4.1211 7.4896 74.03 74.03 60.00
Sites, in units of the cell vectors:
Ca (0.4969, 0.4969, 0.5094)
U (0.6686, 0.6686, 0.9943)
As (0.0769, 0.0769, 0.7692)
As (0.2576, 0.2576, 0.2272)

***

This record from the Alexandria database describes an optimized crystal structure of CsBa3Na. The functional is PBE-GGA.

The value obtained for the total moment is 3.7 μB/f.u. As for the theoretical density: 2.68 g/cm³. For the formation energy, the calculation gives 0.625 eV/atom. For the energy above the lowest structure with this stoichiometry, the calculation gives 397 meV/atom. The space group is No. 221.

Lattice parameters (Å, degrees): 7.0634 7.0634 7.0634 90.00 90.00 90.00
Sites, in units of the cell vectors:
Cs (0.0000, 0.0000, 0.0000)
Na (0.5000, 0.5000, 0.5000)
Ba (0.0000, 0.5000, 0.0000)
Ba (0.0000, 0.0000, 0.5000)
Ba (0.5000, 0.0000, 0.0000)

***

This record from the Alexandria database describes an optimized crystal structure of K3Rb2. The functional is PBE-GGA.

The value obtained for the total moment is 0.0 μB/f.u. As for the theoretical density: 1.20 g/cm³. For the formation energy, the calculation gives 0.018 eV/atom. For the energy above the lowest structure with this stoichiometry, the calculation gives 0 meV/atom. The space group is No. 11.

Lattice parameters (Å, degrees): 4.6293 11.9293 15.5911 111.90 90.00 90.00
Sites, in units of the cell vectors:
K (0.2500, 0.3123, 0.4631)
K (0.7500, 0.6877, 0.5369)
K (0.2500, 0.9036, 0.8359)
K (0.7500, 0.0964, 0.1641)
K (0.7500, 0.5196, 0.7491)
K (0.2500, 0.4804, 0.2509)
Rb (0.2500, 0.8949, 0.3539)
Rb (0.7500, 0.1051, 0.6461)
Rb (0.2500, 0.6993, 0.0386)
Rb (0.7500, 0.3007, 0.9614)

***

This record from the Alexandria database describes an optimized crystal structure of YBeRhBr2. The functional is PBE-GGA.

The value obtained for the total moment is 0.0 μB/f.u. As for the theoretical density: 3.76 g/cm³. For the uncorrected formation energy, the calculation gives 0.3255 eV per atom. The space group is No. 123.

Lattice parameters (Å, degrees): 5.5209 5.2203 5.5209 90.00 90.00 90.00
Sites, in units of the cell vectors:
Y (0.0000, 0.0000, 0.0000)
Be (0.5000, 0.5000, 0.5000)
Rh (0.0000, 0.5000, 0.0000)
Br (0.0000, 0.0000, 0.5000)
Br (0.5000, 0.0000, 0.0000)

***

This record from the Alexandria database describes an optimized crystal structure of Er2InGa3Ni4. The functional is PBE-GGA.

The value obtained for the total moment is 0.0 μB/f.u. As for the theoretical density: 8.74 g/cm³. For the formation energy, the calculation gives -0.490 eV/atom. The space group is No. 115.

Lattice parameters (Å, degrees): 4.0629 4.0629 10.2864 90.00 90.00 90.00
Sites, in units of the cell vectors:
Er (0.5000, 0.0000, 0.2362)
Er (0.0000, 0.5000, 0.7638)
In (0.5000, 0.5000, 0.5000)
Ga (0.0000, 0.0000, 0.5000)
Ga (0.5000, 0.0000, 0.8780)
Ga (0.0000, 0.5000, 0.1220)
Ni (0.5000, 0.5000, 0.0000)
Ni (0.0000, 0.0000, 0.0000)
Ni (0.5000, 0.0000, 0.6507)
Ni (0.0000, 0.5000, 0.3493)

***

Question: Which of these has the lowest theoretical density?
Answer: K3Rb2